1.
# CdGa7Ag4

A geometry-optimized CdGa7Ag4 structure (PBE-GGA, Alexandria).

Cell lengths 3.129, 3.129, 26.111 Å; angles 90.00, 90.00, 120.00 degrees
Fractional positions:
Cd (0.000, 0.000, 0.000)
Ga (0.000, 0.000, 0.256)
Ga (0.000, 0.000, 0.500)
Ga (0.000, 0.000, 0.744)
Ga (0.333, 0.667, 0.664)
Ga (0.333, 0.667, 0.908)
Ga (0.667, 0.333, 0.092)
Ga (0.667, 0.333, 0.336)
Ag (0.333, 0.667, 0.174)
Ag (0.333, 0.667, 0.417)
Ag (0.667, 0.333, 0.583)
Ag (0.667, 0.333, 0.826)

electronic total energy	-2.785	eV per atom
calculated formation energy	7	meV per atom
D(E_F)	2.11	states/eV/f.u.

***

2.
# Cd7GaAg5

A geometry-optimized Cd7GaAg5 structure (PBE-GGA, Alexandria).

Cell lengths 7.526, 7.526, 7.526 Å; angles 135.60, 97.77, 98.64 degrees
Fractional positions:
Cd (0.000, 0.000, 0.000)
Cd (0.316, 0.648, 0.668)
Cd (0.317, 0.317, 0.000)
Cd (0.464, 0.141, 0.324)
Cd (0.817, 0.141, 0.676)
Cd (0.886, 0.386, 0.500)
Cd (0.980, 0.648, 0.332)
Ga (0.646, 0.646, 0.000)
Ag (0.143, 0.144, 0.498)
Ag (0.143, 0.645, 0.999)
Ag (0.399, 0.899, 0.500)
Ag (0.647, 0.144, 0.001)
Ag (0.647, 0.645, 0.502)

electronic total energy	-1.813	eV per atom
calculated formation energy	9	meV per atom
D(E_F)	4.38	states/eV/f.u.

***

3.
# CdGa4Ag5

A geometry-optimized CdGa4Ag5 structure (PBE-GGA, Alexandria).

Cell lengths 8.034, 8.034, 5.829 Å; angles 99.48, 99.48, 29.39 degrees
Fractional positions:
Cd (0.000, 0.000, 0.000)
Ga (0.203, 0.203, 0.106)
Ga (0.397, 0.397, 0.683)
Ga (0.603, 0.603, 0.317)
Ga (0.797, 0.797, 0.894)
Ag (0.000, 0.000, 0.500)
Ag (0.198, 0.198, 0.596)
Ag (0.396, 0.396, 0.189)
Ag (0.604, 0.604, 0.811)
Ag (0.802, 0.802, 0.404)

ΔE to the lowest computed polymorph	0.0	meV/atom
electronic total energy	-2.712	eV per atom
calculated formation energy	16	meV per atom
D(E_F)	2.23	states/eV/f.u.

***

4.
# Cd5Ga2Ag4

A geometry-optimized Cd5Ga2Ag4 structure (PBE-GGA, Alexandria).

Cell lengths 10.511, 10.511, 10.511 Å; angles 162.85, 137.62, 46.04 degrees
Fractional positions:
Cd (0.000, 0.000, 0.000)
Cd (0.049, 0.348, 0.701)
Cd (0.353, 0.652, 0.701)
Cd (0.647, 0.348, 0.299)
Cd (0.951, 0.652, 0.299)
Ga (0.408, 0.908, 0.500)
Ga (0.592, 0.092, 0.500)
Ag (0.273, 0.773, 0.500)
Ag (0.308, 0.500, 0.808)
Ag (0.692, 0.500, 0.192)
Ag (0.727, 0.227, 0.500)

electronic total energy	-1.951	eV per atom
calculated formation energy	52	meV per atom
D(E_F)	3.62	states/eV/f.u.